# 1
Below is a relaxed structure of CeMg6Fe, with properties calculated at the GGA-PBE level.

Lattice parameters (Å, degrees): 5.057 5.732 12.252 90.00 90.00 90.00
Space group Amm2 (No. 38)
Asymmetric unit:
Ce 0.000 0.000 0.000 x2
Mg 0.000 0.249 0.747 x4
Mg 0.500 0.000 0.160 x2
Mg 0.500 0.000 0.607 x2
Mg 0.500 0.245 0.390 x4
Fe 0.000 0.000 0.476 x2

Its volume is 22.20 Å³/atom.

# 2
Below is a relaxed structure of SrCaAs2, with properties calculated at the GGA-PBE level.

Lattice parameters (Å, degrees): 7.490 7.490 7.490 90.00 90.00 90.00
Space group Fm-3m (No. 225)
Asymmetric unit:
Sr 0.000 0.000 0.000 x4
Ca 0.000 0.000 0.500 x4
As 0.250 0.250 0.250 x8

Its volume is 26.26 Å³/atom.

# 3
Below is a relaxed structure of Tb2CeNd, with properties calculated at the GGA-PBE level.

Lattice parameters (Å, degrees): 3.4430 3.4430 37.3816 90.00 90.00 120.00
Space group R-3m (No. 166, hexagonal axes)
Asymmetric unit:
Tb 0.0000 0.0000 0.0875 x6
Ce 0.0000 0.0000 0.0000 x3
Nd 0.0000 0.0000 0.5000 x3

Its volume is 31.98 Å³/atom.

# 4
Below is a relaxed structure of Tb2PmFe, with properties calculated at the GGA-PBE level.

Lattice parameters (Å, degrees): 3.378 3.378 9.153 90.00 90.00 90.00
Space group P4/mmm (No. 123)
Asymmetric unit:
Tb 0.000 0.000 0.176 x2
Pm 0.500 0.500 0.500 x1
Fe 0.500 0.500 0.000 x1

Its volume is 26.11 Å³/atom.

| no. | total energy (eV/cell) | energy of formation (kJ per mole of atoms) | E above lowest polymorph (meV/atom) |
| --- | --- | --- | --- |
| 1 | -45.22 | 16 | 0 |
| 2 | -65.22 | -80 | 141 |
| 3 | -57.55 | 19 | 135 |
| 4 | -22.08 | 9 | 0 |